# 1
## TaBe3I (PBE)

Data for a relaxed structure of TaBe3I.

Summary:
- Energy relative to the lowest polymorph listed for this composition: 385 meV/atom
- E_form (uncorrected): 10.36 eV per formula unit

Cell: 4.5073 4.5073 4.5073 Å, 90.00 90.00 90.00°
With the nearest neighbours (Å) after each atom.
Fractional positions:
1 Ta 0.0000 0.0000 0.0000  12 Be 3.19
2 Be 0.0000 0.5000 0.5000  2 I 2.25
3 Be 0.5000 0.0000 0.5000  2 I 2.25
4 Be 0.5000 0.5000 0.0000  2 I 2.25
5 I 0.5000 0.5000 0.5000  6 Be 2.25

---

# 2
## Na2ScTeN (PBE)

Data for a relaxed structure of Na2ScTeN.

Summary:
- E_form (uncorrected): 4.18 eV per formula unit

Cell: 5.4079 5.4079 5.4625 Å, 90.00 90.00 90.00°
With the nearest neighbours (Å) after each atom.
Fractional positions:
1 Na 0.0000 0.5000 0.0000  2 Te 2.70
2 Na 0.5000 0.0000 0.0000  2 Te 2.70
3 Sc 0.0000 0.0000 0.5000  2 Te 2.73
4 Te 0.0000 0.0000 0.0000  4 Na 2.70, 2 Sc 2.73
5 N 0.5000 0.5000 0.5000  4 Sc 3.82, 8 Na 3.84

---

# 3
## Ba3NpO6F2 (PBE)

Data for a relaxed structure of Ba3NpO6F2.

Summary:
- E_form (uncorrected): -33.04 eV per formula unit

Cell: 7.6403 7.6403 5.1558 Å, 90.46 90.46 58.36°
With the nearest neighbours (Å) after each atom.
Fractional positions:
1 Ba 0.0000 0.0000 0.0000  2 F 2.59, 4 O 2.79
2 Ba 0.0000 0.5000 0.5000  2 F 2.59, 4 O 2.65-2.72
3 Ba 0.5000 0.0000 0.5000  2 F 2.59, 4 O 2.65-2.72
4 Np 0.5000 0.5000 0.5000  6 O 1.99-2.05
5 O 0.2300 0.6445 0.7028  1 Np 2.05
6 O 0.3555 0.7700 0.2972  1 Np 2.05
7 O 0.3702 0.3702 0.3083  1 Np 1.99
8 O 0.6298 0.6298 0.6917  1 Np 1.99
9 O 0.6445 0.2300 0.7028  1 Np 2.05
10 O 0.7700 0.3555 0.2972  1 Np 2.05
11 F 0.1759 0.1759 0.7916  3 Ba 2.59
12 F 0.8241 0.8241 0.2084  3 Ba 2.59

---

Q: Which formula does entry 2 have?
A: Na2ScTeN